Computed, not measured: a relaxed MoRhBr crystal at the PBE level of DFT.

Geometry as POSCAR:
```
MoRhBr
1.0
6.086 0.000 0.000
0.000 6.086 0.000
0.000 0.000 6.086
Mo Rh Br
4 4 4
direct
0.000 0.000 0.000
0.000 0.500 0.500
0.500 0.000 0.500
0.500 0.500 0.000
0.250 0.250 0.750
0.250 0.750 0.250
0.750 0.250 0.250
0.750 0.750 0.750
0.250 0.250 0.250
0.250 0.750 0.750
0.750 0.250 0.750
0.750 0.750 0.250
```

Values from the calculation:
Energy, eV per formula unit: -17.96